[1]
NbAs2W PBE optimized geometry; ρ = 11034 kg/m³; E_form = -52 meV/atom
1.0
6.356 0.000 0.000
0.000 6.356 0.000
0.000 0.000 6.356
Nb As W
4 8 4
direct
0.000 0.000 0.000 Nb
0.000 0.500 0.500 Nb
0.500 0.000 0.500 Nb
0.500 0.500 0.000 Nb
0.250 0.250 0.250 As
0.250 0.250 0.750 As
0.250 0.750 0.250 As
0.250 0.750 0.750 As
0.750 0.250 0.250 As
0.750 0.250 0.750 As
0.750 0.750 0.250 As
0.750 0.750 0.750 As
0.000 0.000 0.500 W
0.000 0.500 0.000 W
0.500 0.000 0.000 W
0.500 0.500 0.500 W

[2]
KMnCu2 PBE optimized geometry; ρ = 4558 kg/m³; E_form = 520 meV/atom
1.0
3.077 0.000 0.000
0.000 3.255 0.000
0.000 0.000 8.045
K Mn Cu
1 1 2
direct
0.000 0.000 0.000 K
0.500 0.500 0.628 Mn
0.000 0.000 0.461 Cu
0.500 0.500 0.314 Cu

[3]
BaAs2HRh PBE optimized geometry; E_tot = -0.18736 Ry per atom; ρ = 3302 kg/m³
1.0
6.060 0.000 0.000
0.000 6.060 0.000
0.000 0.000 5.356
Ba As H Rh
1 2 1 1
direct
0.000 0.000 0.000 Ba
0.000 0.500 0.000 As
0.500 0.000 0.000 As
0.500 0.500 0.500 H
0.000 0.000 0.500 Rh

[4]
PmScGa2Rh2 PBE optimized geometry; ρ = 7764 kg/m³; E_form = -855 meV/atom
1.0
4.378 0.000 0.000
-2.189 3.791 0.000
0.000 0.000 6.897
Pm Sc Ga Rh
1 1 2 2
direct
0.000 0.000 0.000 Pm
0.000 0.000 0.500 Sc
0.333 0.667 0.268 Ga
0.667 0.333 0.732 Ga
0.333 0.667 0.650 Rh
0.667 0.333 0.350 Rh

[5]
LaTa PBE optimized geometry; ρ = 5705 kg/m³; E_form = 1311 meV/atom
1.0
9.064 0.000 0.000
0.000 9.064 0.000
0.000 0.000 9.064
La Ta
8 8
direct
0.216 0.216 0.216 La
0.216 0.784 0.784 La
0.284 0.284 0.716 La
0.284 0.716 0.284 La
0.716 0.284 0.284 La
0.716 0.716 0.716 La
0.784 0.216 0.784 La
0.784 0.784 0.216 La
0.103 0.103 0.897 Ta
0.103 0.897 0.103 Ta
0.397 0.397 0.397 Ta
0.397 0.603 0.603 Ta
0.603 0.397 0.603 Ta
0.603 0.603 0.397 Ta
0.897 0.103 0.103 Ta
0.897 0.897 0.897 Ta

[6]
AlCr2Se PBE optimized geometry; ρ = 6232 kg/m³; formation energy without anion corrections = 0.42 eV/f.u.
1.0
2.988 0.000 0.000
0.000 2.988 0.000
0.000 0.000 6.266
Al Cr Se
1 2 1
direct
0.000 0.000 0.000 Al
0.500 0.500 0.266 Cr
0.500 0.500 0.734 Cr
0.000 0.000 0.500 Se

[7]
Dy2Se2F PBE optimized geometry; ρ = 5599 kg/m³; formation energy without anion corrections = -10.50 eV/f.u.
1.0
9.965 -2.073 0.000
9.965 2.073 0.000
-0.738 0.000 7.207
Dy Se F
4 4 2
direct
0.162 0.162 0.379 Dy
0.333 0.333 0.102 Dy
0.667 0.667 0.898 Dy
0.838 0.838 0.621 Dy
0.102 0.102 0.702 Se
0.407 0.407 0.803 Se
0.593 0.593 0.197 Se
0.898 0.898 0.298 Se
0.219 0.219 0.082 F
0.781 0.781 0.918 F

[8]
AlHg2Os PBE optimized geometry; ρ = 14314 kg/m³; E_form = 515 meV/atom
1.0
10.010 0.000 0.000
0.000 3.253 0.000
-1.193 0.000 4.406
Al Hg Os
2 4 2
direct
0.000 0.000 0.000 Al
0.500 0.500 0.000 Al
0.246 0.000 0.745 Hg
0.254 0.500 0.255 Hg
0.746 0.500 0.745 Hg
0.754 0.000 0.255 Hg
0.000 0.500 0.500 Os
0.500 0.000 0.500 Os

[9]
KRb2PI6 PBE optimized geometry; ρ = 3638 kg/m³; formation energy without anion corrections = -8.54 eV/f.u.
1.0
4.454 2.571 6.660
-4.454 2.571 6.660
0.000 -5.143 6.660
K Rb P I
1 2 1 6
direct
0.000 0.000 0.000 K
0.262 0.262 0.262 Rb
0.738 0.738 0.738 Rb
0.500 0.500 0.500 P
0.193 0.702 0.362 I
0.298 0.638 0.807 I
0.362 0.193 0.702 I
0.638 0.807 0.298 I
0.702 0.362 0.193 I
0.807 0.298 0.638 I

[10]
Ac3Al2Hg2Ge4 PBE optimized geometry; ρ = 8168 kg/m³; E_form = -406 meV/atom
1.0
-2.380 2.380 12.807
2.380 -2.380 12.807
2.380 2.380 -12.807
Ac Al Hg Ge
3 2 2 4
direct
0.000 0.000 0.000 Ac
0.185 0.185 0.000 Ac
0.815 0.815 0.000 Ac
0.449 0.449 0.000 Al
0.551 0.551 0.000 Al
0.316 0.316 0.000 Hg
0.684 0.684 0.000 Hg
0.097 0.597 0.500 Ge
0.403 0.903 0.500 Ge
0.597 0.097 0.500 Ge
0.903 0.403 0.500 Ge

[11]
TbNd2Dy5 PBE optimized geometry; ρ = 8001 kg/m³; E_form = 163 meV/atom
1.0
8.151 -4.954 0.000
8.151 4.954 0.000
-1.048 0.000 6.476
Tb Nd Dy
2 4 10
direct
0.000 0.500 0.000 Tb
0.500 0.000 0.500 Tb
0.166 0.675 0.880 Nd
0.325 0.834 0.620 Nd
0.675 0.166 0.380 Nd
0.834 0.325 0.120 Nd
0.010 0.189 0.647 Dy
0.189 0.010 0.147 Dy
0.214 0.389 0.474 Dy
0.389 0.214 0.974 Dy
0.441 0.559 0.250 Dy
0.559 0.441 0.750 Dy
0.611 0.786 0.026 Dy
0.786 0.611 0.526 Dy
0.811 0.990 0.853 Dy
0.990 0.811 0.353 Dy

[12]
TaRuW2 PBE optimized geometry; ρ = 16732 kg/m³; E_form = -1 meV/atom
1.0
3.175 0.000 0.000
0.000 4.557 0.000
0.000 0.000 8.913
Ta Ru W
2 2 4
direct
0.000 0.000 0.000 Ta
0.500 0.500 0.500 Ta
0.000 0.500 0.247 Ru
0.500 0.000 0.747 Ru
0.000 0.000 0.493 W
0.000 0.500 0.752 W
0.500 0.000 0.252 W
0.500 0.500 0.993 W

[13]
BeP2Pt PBE optimized geometry; ρ = 8223 kg/m³; E_form = 271 meV/atom
1.0
3.857 0.000 0.000
0.000 3.857 0.000
0.000 0.000 7.224
Be P Pt
2 4 2
direct
0.000 0.000 0.000 Be
0.500 0.500 0.500 Be
0.000 0.000 0.500 P
0.000 0.500 0.750 P
0.500 0.000 0.250 P
0.500 0.500 0.000 P
0.000 0.500 0.250 Pt
0.500 0.000 0.750 Pt

[14]
Ti2WI2 PBE optimized geometry; ρ = 7708 kg/m³; formation energy without anion corrections = 5.97 eV/f.u.
1.0
5.444 0.000 0.000
0.000 5.444 0.000
0.000 0.000 7.753
Ti W I
4 2 4
direct
0.000 0.000 0.170 Ti
0.000 0.000 0.830 Ti
0.500 0.500 0.330 Ti
0.500 0.500 0.670 Ti
0.000 0.000 0.500 W
0.500 0.500 0.000 W
0.000 0.500 0.250 I
0.000 0.500 0.750 I
0.500 0.000 0.250 I
0.500 0.000 0.750 I

[15]
CaCoTeI2 PBE optimized geometry; ρ = 3630 kg/m³; formation energy without anion corrections = 1.40 eV/f.u.
1.0
5.957 0.000 0.000
0.000 5.957 0.000
0.000 0.000 6.192
Ca Co Te I
1 1 1 2
direct
0.000 0.000 0.000 Ca
0.500 0.500 0.500 Co
0.000 0.000 0.500 Te
0.000 0.500 0.000 I
0.500 0.000 0.000 I

[16]
Ti2Cu2S PBE optimized geometry; ρ = 5399 kg/m³; formation energy without anion corrections = -1.55 eV/f.u.
1.0
6.242 0.000 0.000
0.000 6.242 0.000
0.000 0.000 4.024
Ti Cu S
4 4 2
direct
0.163 0.337 0.000 Ti
0.337 0.837 0.000 Ti
0.663 0.163 0.000 Ti
0.837 0.663 0.000 Ti
0.135 0.635 0.500 Cu
0.365 0.135 0.500 Cu
0.635 0.865 0.500 Cu
0.865 0.365 0.500 Cu
0.000 0.000 0.000 S
0.500 0.500 0.000 S

[17]
Gd3Cu PBE optimized geometry; ρ = 8152 kg/m³; E_form = -48 meV/atom
1.0
3.621 0.000 0.000
0.000 11.249 0.000
0.000 0.000 5.354
Gd Cu
6 2
direct
0.000 0.000 0.000 Gd
0.000 0.206 0.501 Gd
0.000 0.794 0.501 Gd
0.500 0.294 0.001 Gd
0.500 0.500 0.500 Gd
0.500 0.706 0.001 Gd
0.000 0.500 0.996 Cu
0.500 0.000 0.496 Cu

[18]
Ce2ErCd5 PBE optimized geometry; ρ = 8373 kg/m³; E_form = -205 meV/atom
1.0
4.884 0.000 0.000
0.000 4.884 0.000
0.000 0.000 16.785
Ce Er Cd
4 2 10
direct
0.000 0.000 0.241 Ce
0.000 0.000 0.759 Ce
0.500 0.500 0.259 Ce
0.500 0.500 0.741 Ce
0.000 0.000 0.500 Er
0.500 0.500 0.000 Er
0.000 0.000 0.000 Cd
0.000 0.500 0.115 Cd
0.000 0.500 0.385 Cd
0.000 0.500 0.615 Cd
0.000 0.500 0.885 Cd
0.500 0.000 0.115 Cd
0.500 0.000 0.385 Cd
0.500 0.000 0.615 Cd
0.500 0.000 0.885 Cd
0.500 0.500 0.500 Cd

[19]
MnAgSb2 PBE optimized geometry; ρ = 7823 kg/m³; formation energy without anion corrections = 1.05 eV/f.u.
1.0
4.580 0.000 0.000
0.000 4.658 0.000
0.000 0.000 8.087
Mn Ag Sb
2 2 4
direct
0.000 0.000 0.000 Mn
0.500 0.500 0.500 Mn
0.000 0.000 0.500 Ag
0.500 0.500 0.000 Ag
0.000 0.500 0.252 Sb
0.000 0.500 0.748 Sb
0.500 0.000 0.248 Sb
0.500 0.000 0.752 Sb

[20]
La2Pr3Sm6Y PBE optimized geometry; ρ = 6715 kg/m³; E_form = 15 meV/atom
1.0
3.178 -5.504 0.000
3.178 5.504 0.000
-2.125 0.000 11.960
La Pr Sm Y
2 3 6 1
direct
0.167 0.833 0.000 La
0.833 0.167 0.000 La
0.000 0.000 0.500 Pr
0.333 0.667 0.500 Pr
0.667 0.333 0.500 Pr
0.084 0.417 0.750 Sm
0.250 0.250 0.250 Sm
0.417 0.084 0.750 Sm
0.583 0.916 0.250 Sm
0.750 0.750 0.750 Sm
0.916 0.583 0.250 Sm
0.500 0.500 0.000 Y

no.,volume (Å³ per cell),Fermi-level density of states (states/eV/cell)
1,257,28.9
2,81,1.6
3,197,8.9
4,114,3.8
5,745,27.7
6,56,1.7
7,298,3.0
8,143,4.8
9,458,0.0
10,290,7.3
11,523,24.1
12,129,7.2
13,107,2.9
14,230,14.1
15,220,14.6
16,157,4.1
17,218,11.3
18,400,29.6
19,173,5.0
20,418,17.9